VASP calculation (GGA-PBE) on an optimized crystal structure of Ta9Co2S6.

Calculated values
The raw total energy is -317.04 eV for the cell shown. The calculation puts the magnetic moment at 0.0 μB/f.u. The offset from the most stable computed form is 0.000 eV/atom.

Cell lengths 10.3301, 10.3301, 6.5959 Å; angles 90.00, 90.00, 120.00 degrees
Closest atoms and distances in Å follow each position.
Space group P-62m (No. 189)
Symmetry-distinct sites (fractional):
1 Ta 0.0000 0.4566 0.2489 x6  3 S 2.50-2.55
2 Ta 0.1918 0.7397 0.5000 x6  3 S 2.38-2.51, 2 Co 2.44
3 Ta 0.2112 0.7400 0.0000 x6  3 S 2.43-2.56, 2 Co 2.55
4 Co 0.3333 0.6667 0.2781 x4  6 Ta 2.44-2.55
5 S 0.0000 0.2723 0.5000 x3  4 Ta 2.38-2.52
6 S 0.0000 0.2739 0.0000 x3  4 Ta 2.43-2.50
7 S 0.0000 0.7038 0.2381 x6  5 Ta 2.51-2.56



VASP calculation (GGA-PBE) on an optimized crystal structure of KPbW.

Calculated values
The raw total energy is -51.41 eV for the cell shown. The calculation puts the magnetic moment at 3.0 μB/f.u. The offset from the most stable computed form is 0.000 eV/atom.

Cell lengths 7.1856, 7.1856, 7.1856 Å; angles 90.00, 90.00, 90.00 degrees
Closest atoms and distances in Å follow each position.
Space group F-43m (No. 216)
Symmetry-distinct sites (fractional):
1 K 0.0000 0.0000 0.0000 x4  4 W 3.11
2 Pb 0.0000 0.0000 0.5000 x4  4 W 3.11
3 W 0.2500 0.2500 0.2500 x4  4 K 3.11, 4 Pb 3.11



VASP calculation (GGA-PBE) on an optimized crystal structure of Tb2ScN3.

Calculated values
The raw total energy is -50.73 eV for the cell shown. The calculation puts the magnetic moment at 0.0 μB/f.u.

Cell lengths 3.3882, 3.3882, 8.2869 Å; angles 90.00, 90.00, 120.00 degrees
Closest atoms and distances in Å follow each position.
Space group P-3m1 (No. 164)
Symmetry-distinct sites (fractional):
1 Tb 0.3333 0.6667 0.3258 x2  6 N 2.42-2.43
2 Sc 0.0000 0.0000 0.0000 x1  6 N 2.33
3 N 0.0000 0.0000 0.5000 x1  6 Tb 2.43
4 N 0.3333 0.6667 0.8469 x2  3 Sc 2.33, 3 Tb 2.42



VASP calculation (GGA-PBE) on an optimized crystal structure of NiB2W.

Calculated values
The raw total energy is -111.33 eV for the cell shown. The calculation puts the magnetic moment at 0.0 μB/f.u.

Cell lengths 5.4746, 5.4746, 5.4746 Å; angles 90.00, 90.00, 90.00 degrees
Closest atoms and distances in Å follow each position.
Space group F-43m (No. 216)
Symmetry-distinct sites (fractional):
1 Ni 0.0000 0.0000 0.0000 x4  4 W 2.37, 4 B 2.37
2 B 0.0000 0.0000 0.5000 x4  4 W 2.37, 4 B 2.37
3 B 0.2500 0.2500 0.2500 x4  4 Ni 2.37, 4 B 2.37
4 W 0.2500 0.2500 0.7500 x4  4 Ni 2.37, 4 B 2.37



VASP calculation (GGA-PBE) on an optimized crystal structure of CsBiPd.

Calculated values
The raw total energy is -33.90 eV for the cell shown. The offset from the most stable computed form is 0.891 eV/atom.

Cell lengths 7.7136, 7.7136, 7.7136 Å; angles 90.00, 90.00, 90.00 degrees
Closest atoms and distances in Å follow each position.
Space group F-43m (No. 216)
Symmetry-distinct sites (fractional):
1 Cs 0.0000 0.0000 0.0000 x4  4 Bi 3.34
2 Bi 0.2500 0.2500 0.2500 x4  4 Pd 3.34, 4 Cs 3.34
3 Pd 0.0000 0.0000 0.5000 x4  4 Bi 3.34



VASP calculation (GGA-PBE) on an optimized crystal structure of Sm4B4O11F2.

Calculated values
The raw total energy is -678.44 eV for the cell shown. The calculation puts the magnetic moment at 0.0 μB/f.u.

Cell lengths 13.6278, 4.6500, 13.7566 Å; angles 90.00, 91.21, 90.00 degrees
Closest atoms and distances in Å follow each position.
Space group C2/c (No. 15)
Symmetry-distinct sites (fractional):
1 Sm 0.0588 0.0224 0.3702 x8  7 O 2.37-2.62, 1 F 2.45
2 Sm 0.2208 0.0194 0.1282 x8  6 O 2.31-2.46, 2 F 2.52-2.54
3 B 0.0932 0.4781 0.2141 x8  4 O 1.42-1.58
4 B 0.0945 0.4527 0.5249 x8  3 O 1.37-1.39
5 O 0.0000 0.3499 0.2500 x4  2 B 1.50
6 O 0.0795 0.1630 0.5359 x8  1 B 1.37
7 O 0.0871 0.3687 0.1058 x8  1 B 1.39
8 O 0.0997 0.2195 0.7248 x8  1 B 1.42
9 O 0.1129 0.4436 0.9339 x8  1 B 1.37
10 O 0.1741 0.3150 0.2569 x8  1 B 1.45
11 F 0.2309 0.0214 0.4256 x8  3 Sm 2.45-2.54, 1 B 2.46, 3 O 2.62-2.70



VASP calculation (GGA-PBE) on an optimized crystal structure of Nb2MoW2.

Calculated values
The value obtained for the energy of formation is 915.8 meV per atom. The raw total energy is -104.75 eV for the cell shown. The calculation puts the magnetic moment at 0.0 μB/f.u. The offset from the most stable computed form is 0.000 eV/atom.

Cell lengths 3.5921, 3.5921, 14.0839 Å; angles 90.00, 90.00, 90.00 degrees
Closest atoms and distances in Å follow each position.
Space group I4/mmm (No. 139)
Symmetry-distinct sites (fractional):
1 Nb 0.0000 0.0000 0.0944 x4  1 Nb 2.66, 4 W 2.83, 4 Mo 2.87
2 Mo 0.0000 0.0000 0.5000 x2  8 Nb 2.87
3 W 0.0000 0.5000 0.2500 x4  4 W 2.54, 4 Nb 2.83



VASP calculation (GGA-PBE) on an optimized crystal structure of Nd5Ni19.

Calculated values
The value obtained for the energy of formation is -304.2 meV per atom. The raw total energy is -273.81 eV for the cell shown. The calculation puts the magnetic moment at 3.4 μB/f.u.

Cell lengths 4.9973, 4.9973, 32.3448 Å; angles 90.00, 90.00, 120.00 degrees
Closest atoms and distances in Å follow each position.
Space group P6_3/mmc (No. 194)
Symmetry-distinct sites (fractional):
1 Nd 0.3333 0.6667 0.0224 x4  12 Ni 2.86-3.18
2 Nd 0.3333 0.6667 0.1322 x4  12 Ni 2.89-3.10
3 Nd 0.3333 0.6667 0.2500 x2  18 Ni 2.89-3.19
4 Ni 0.0000 0.0000 0.0000 x2  6 Ni 2.55
5 Ni 0.0000 0.0000 0.1266 x4  6 Ni 2.45-2.47
6 Ni 0.0000 0.0000 0.2500 x2  6 Ni 2.45
7 Ni 0.1665 0.3330 0.5652 x12  7 Ni 2.45-2.55
8 Ni 0.1670 0.3339 0.6887 x12  8 Ni 2.45-2.50
9 Ni 0.3333 0.6667 0.6262 x4  6 Ni 2.45-2.48
10 Ni 0.3333 0.6667 0.7500 x2  6 Ni 2.45



VASP calculation (GGA-PBE) on an optimized crystal structure of TcHF6.

Calculated values
The raw total energy is -39.39 eV for the cell shown. The calculation puts the magnetic moment at 2.0 μB/f.u.

Cell lengths 4.6341, 4.6517, 4.7833 Å; angles 94.84, 108.86, 118.88 degrees
Closest atoms and distances in Å follow each position.
Space group P-1 (No. 2)
Symmetry-distinct sites (fractional):
1 Tc 0.0000 0.0000 0.0000 x1  6 F 1.85-1.98
2 H 0.5000 0.0000 0.5000 x1  2 F 1.14
3 F 0.1075 0.3991 0.2452 x2  1 Tc 1.85
4 F 0.2136 0.2479 0.7627 x2  1 Tc 1.86
5 F 0.4709 0.0783 0.2772 x2  1 H 1.14



VASP calculation (GGA-PBE) on an optimized crystal structure of LuBeHgAu.

Calculated values
The raw total energy is -49.79 eV for the cell shown. The calculation puts the magnetic moment at 0.0 μB/f.u. The offset from the most stable computed form is 0.064 eV/atom.

Cell lengths 6.6819, 6.6819, 6.6819 Å; angles 90.00, 90.00, 90.00 degrees
Closest atoms and distances in Å follow each position.
Space group F-43m (No. 216)
Symmetry-distinct sites (fractional):
1 Lu 0.0000 0.0000 0.0000 x4  4 Be 2.89, 4 Au 2.89
2 Be 0.2500 0.2500 0.2500 x4  4 Hg 2.89, 4 Lu 2.89
3 Hg 0.0000 0.0000 0.5000 x4  4 Be 2.89, 4 Au 2.89
4 Au 0.2500 0.2500 0.7500 x4  4 Hg 2.89, 4 Lu 2.89



VASP calculation (GGA-PBE) on an optimized crystal structure of ZnNi15.

Calculated values
The value obtained for the energy of formation is 68.9 meV per atom. The raw total energy is -167.36 eV for the cell shown. The calculation puts the magnetic moment at 8.4 μB/f.u. The offset from the most stable computed form is 0.005 eV/atom.

Cell lengths 3.6746, 3.6747, 38.4246 Å; angles 90.00, 90.00, 90.00 degrees
Closest atoms and distances in Å follow each position.
Space group Pmm2 (No. 25)
Symmetry-distinct sites (fractional):
1 Zn 0.0000 0.0000 0.0000 x1  8 Ni 2.56-2.60
2 Zn 0.5000 0.0000 0.3533 x1  8 Ni 2.56-2.60
3 Ni 0.0000 0.0000 0.3996 x1  10 Ni 2.44-2.60, 2 Zn 2.56
4 Ni 0.0000 0.0000 0.4852 x1  12 Ni 2.46-2.60
5 Ni 0.0000 0.0000 0.5702 x1  12 Ni 2.46-2.60
6 Ni 0.0000 0.0000 0.6552 x1  12 Ni 2.46-2.60
7 Ni 0.0000 0.0000 0.7402 x1  12 Ni 2.46-2.60
8 Ni 0.0000 0.0000 0.8250 x1  12 Ni 2.45-2.60
9 Ni 0.0000 0.0000 0.9104 x1  12 Ni 2.45-2.60
10 Ni 0.0000 0.5000 0.3578 x1  4 Ni 2.44, 4 Zn 2.60
11 Ni 0.0000 0.5000 0.4422 x1  12 Ni 2.46-2.60
12 Ni 0.0000 0.5000 0.5277 x1  12 Ni 2.46-2.60
13 Ni 0.0000 0.5000 0.6127 x1  12 Ni 2.46-2.60
14 Ni 0.0000 0.5000 0.6977 x1  12 Ni 2.46-2.60
15 Ni 0.0000 0.5000 0.7827 x1  12 Ni 2.45-2.60
16 Ni 0.0000 0.5000 0.8680 x1  12 Ni 2.45-2.60
17 Ni 0.0000 0.5000 0.9535 x1  10 Ni 2.44-2.60, 2 Zn 2.56
18 Ni 0.5000 0.0000 0.4426 x1  12 Ni 2.46-2.60
19 Ni 0.5000 0.0000 0.5276 x1  12 Ni 2.46-2.60
20 Ni 0.5000 0.0000 0.6128 x1  12 Ni 2.46-2.60
21 Ni 0.5000 0.0000 0.6977 x1  12 Ni 2.46-2.60
22 Ni 0.5000 0.0000 0.7827 x1  12 Ni 2.45-2.60
23 Ni 0.5000 0.0000 0.8680 x1  12 Ni 2.45-2.60
24 Ni 0.5000 0.0000 0.9535 x1  10 Ni 2.44-2.60, 2 Zn 2.56
25 Ni 0.5000 0.5000 0.3996 x1  10 Ni 2.44-2.60, 2 Zn 2.56
26 Ni 0.5000 0.5000 0.4852 x1  12 Ni 2.46-2.60
27 Ni 0.5000 0.5000 0.5702 x1  12 Ni 2.46-2.60
28 Ni 0.5000 0.5000 0.6552 x1  12 Ni 2.46-2.60
29 Ni 0.5000 0.5000 0.7402 x1  12 Ni 2.46-2.60
30 Ni 0.5000 0.5000 0.8249 x1  12 Ni 2.45-2.60
31 Ni 0.5000 0.5000 0.9107 x1  12 Ni 2.46-2.60
32 Ni 0.5000 0.5000 0.9953 x1  4 Ni 2.44, 4 Zn 2.60



VASP calculation (GGA-PBE) on an optimized crystal structure of NbAs2O.

Calculated values
The raw total energy is -54.57 eV for the cell shown. The calculation puts the magnetic moment at 0.0 μB/f.u.

Cell lengths 3.4010, 6.4091, 7.3366 Å; angles 90.00, 90.00, 90.00 degrees
Closest atoms and distances in Å follow each position.
Space group Pmc2_1 (No. 26)
Symmetry-distinct sites (fractional):
1 Nb 0.0000 0.0873 0.0000 x2  2 O 1.94
2 As 0.0000 0.2768 0.3234 x2  2 As 2.52, 2 Nb 2.67
3 As 0.5000 0.2593 0.5757 x2  2 As 2.52, 1 O 2.73
4 O 0.5000 0.2185 0.9465 x2  2 Nb 1.94